Entry from Alexandria via LeMat-Bulk: a relaxed K2TlFe crystal (GGA-PBE).

Cell: 11.947 11.947 11.947 Å, 17.47 17.47 17.47°
Last column: magnetic moment on the atom in μB.
Fractional coordinates of all 4 atoms:
Fe1 0.750 0.750 0.750  3.14
K1 0.006 0.006 0.006  -0.01
K2 0.494 0.494 0.494  -0.01
Tl1 0.250 0.250 0.250  0.01

Computed properties:
**Calculated volume**: 134.1 Å³/cell
**Fermi-level density of states**: 4.36 states/eV/cell
**M_tot**: 3.1 μB/cell
**Energy relative to the lowest polymorph listed for this composition**: 0.332 eV/atom
**DFT formation energy**: 304 kJ/mol of formula units

Entry from Alexandria via LeMat-Bulk: a relaxed KTlFe2 crystal (GGA-PBE).

Cell: 6.263 6.263 6.263 Å, 152.68 127.84 59.87°
Last column: magnetic moment on the atom in μB.
Fractional coordinates of all 4 atoms:
Fe1 0.971 0.971 0.000  2.96
Fe2 0.529 0.529 0.000  2.96
K1 0.250 0.750 0.500  -0.03
Tl1 0.750 0.250 0.500  -0.08

Computed properties:
**Calculated volume**: 88.4 Å³/cell
**Fermi-level density of states**: 5.30 states/eV/cell
**M_tot**: 5.6 μB/cell
**Energy relative to the lowest polymorph listed for this composition**: 0.551 eV/atom
**DFT formation energy**: 399 kJ/mol of formula units

Entry from Alexandria via LeMat-Bulk: a relaxed KTlFe2 crystal (GGA-PBE).

Cell: 3.023 3.023 9.587 Å, 90.00 90.00 90.04°
Last column: magnetic moment on the atom in μB.
Fractional coordinates of all 4 atoms:
Fe1 0.000 0.000 0.952  2.82
Fe2 0.000 0.000 0.548  2.82
K1 0.500 0.500 0.250  -0.04
Tl1 0.500 0.500 0.750  -0.07

Computed properties:
**Calculated volume**: 87.6 Å³/cell
**Fermi-level density of states**: 5.49 states/eV/cell
**M_tot**: 5.4 μB/cell
**Energy relative to the lowest polymorph listed for this composition**: 0.549 eV/atom
**DFT formation energy**: 399 kJ/mol of formula units

Entry from Alexandria via LeMat-Bulk: a relaxed KTl2Fe crystal (GGA-PBE).

Cell: 8.624 8.624 8.624 Å, 157.40 151.55 36.64°
Last column: magnetic moment on the atom in μB.
Fractional coordinates of all 4 atoms:
Fe1 0.519 0.519 0.000  2.60
K1 0.317 0.817 0.500  -0.01
Tl1 0.000 0.000 0.000  -0.07
Tl2 0.663 0.163 0.500  -0.04

Computed properties:
**Calculated volume**: 117.3 Å³/cell
**Fermi-level density of states**: 3.64 states/eV/cell
**M_tot**: 2.4 μB/cell
**DFT formation energy**: 146 kJ/mol of formula units

Entry from Alexandria via LeMat-Bulk: a relaxed KTlFe2 crystal (GGA-PBE).

Cell: 4.922 4.922 4.922 Å, 60.00 60.00 60.00°
Last column: magnetic moment on the atom in μB.
Fractional coordinates of all 4 atoms:
K1 0.000 0.000 0.000  0.01
Tl1 0.500 0.500 0.500  -0.07
Fe1 0.250 0.250 0.250  3.00
Fe2 0.750 0.750 0.750  3.00

Computed properties:
**Calculated volume**: 84.3 Å³/cell
**Fermi-level density of states**: 3.24 states/eV/cell
**M_tot**: 6.0 μB/cell
**Energy relative to the lowest polymorph listed for this composition**: 0.623 eV/atom
**DFT formation energy**: 427 kJ/mol of formula units

Entry from Alexandria via LeMat-Bulk: a relaxed KTl2Fe crystal (GGA-PBE).

Cell: 3.787 3.819 8.476 Å, 90.00 90.00 90.00°
Last column: magnetic moment on the atom in μB.
Fractional coordinates of all 4 atoms:
Fe1 0.000 0.000 0.369  2.66
K1 0.500 0.500 0.742  0.00
Tl1 0.000 0.000 0.049  0.00
Tl2 0.500 0.500 0.339  -0.07

Computed properties:
**Calculated volume**: 122.6 Å³/cell
**Fermi-level density of states**: 3.06 states/eV/cell
**M_tot**: 2.6 μB/cell
**DFT formation energy**: 157 kJ/mol of formula units

M_tot of number 5 (KTlFe2)?
6.0 μB/cell

What is the formula in the first record?
K2TlFe